(1)
Material: GePbAu2
Method: DFT, PBE
State: relaxed

Summary:
- raw total energy (Ry/atom) = -0.26534
- formation enthalpy at 0 K (eV per atom) = 0.110

Unit cell a=4.842 b=4.842 c=3.705 alpha=90.00 beta=90.00 gamma=90.00
Atoms (fractional coordinates):
Ge 0.000 0.000 0.000
Pb 0.500 0.500 0.000
Au 0.000 0.500 0.500
Au 0.500 0.000 0.500



(2)
Material: Ge3PdPb2Au12
Method: DFT, PBE
State: relaxed

Summary:
- raw total energy (Ry/atom) = -0.25802
- formation enthalpy at 0 K (eV per atom) = 0.145

Unit cell a=7.541 b=7.541 c=7.541 alpha=77.57 beta=77.57 gamma=77.57
Atoms (fractional coordinates):
Ge 0.000 0.500 0.500
Ge 0.500 0.000 0.500
Ge 0.500 0.500 0.000
Pd 0.500 0.500 0.500
Pb 0.118 0.118 0.118
Pb 0.882 0.882 0.882
Au 0.154 0.665 0.665
Au 0.168 0.168 0.638
Au 0.168 0.638 0.168
Au 0.335 0.335 0.846
Au 0.335 0.846 0.335
Au 0.362 0.832 0.832
Au 0.638 0.168 0.168
Au 0.665 0.154 0.665
Au 0.665 0.665 0.154
Au 0.832 0.362 0.832
Au 0.832 0.832 0.362
Au 0.846 0.335 0.335